Computed, not measured: an optimized crystal structure of KBi3Pt at the PBE level of DFT.

abc: 5.778 5.778 5.778
angles: 90.00 90.00 90.00
Space group Pm-3m (No. 221)
Asymmetric unit:
K (0.000, 0.000, 0.000) [1 per cell]
Bi (0.000, 0.000, 0.500) [3 per cell]
Pt (0.500, 0.500, 0.500) [1 per cell]

Values from the calculation:
**D(E_F)**: 1.442 states/eV per atom
**Total moment**: 1.46 Bohr magnetons per cell
**Relative energy among the computed polymorphs**: 1.785 eV/atom
**Theoretical density**: 7.4 Mg/m³
**E_tot**: -2.127 eV/atom